w) Below is an optimized crystal structure of NdHoGe, with properties calculated at the PBE level.

Cell lengths 5.0508, 5.0508, 5.0508 Å; angles 60.00, 60.00, 60.00 degrees
Last column: nearest neighbours and their distance in Å.
Positions (direct):
Ge1 0.2500 0.2500 0.2500  4 Nd 3.09
Ho1 0.7500 0.7500 0.7500  4 Nd 3.09
Nd1 0.0000 0.0000 0.0000  4 Ho 3.09, 4 Ge 3.09

Results
Total moment, μB per formula unit: 0.202
Crystal system: cubic
SG: F-43m (216)
Density, g/cm3: 6.96

x) Below is an optimized crystal structure of NdHoGe, with properties calculated at the PBE level.

Cell lengths 5.2391, 5.2391, 6.3794 Å; angles 90.00, 90.00, 120.00 degrees
Last column: nearest neighbours and their distance in Å.
Positions (direct):
Ge1 0.6667 0.3333 0.4804  5 Ho 3.02-3.19
Ge2 0.3333 0.6667 0.9804  5 Ho 3.02-3.19
Ho1 0.3333 0.6667 0.4799  5 Ge 3.02-3.19
Ho2 0.6667 0.3333 0.9799  5 Ge 3.02-3.19
Nd1 0.0000 0.0000 0.2303  2 Nd 3.19, 6 Ho 3.42, 6 Ge 3.42
Nd2 0.0000 0.0000 0.7303  2 Nd 3.19, 6 Ho 3.42, 6 Ge 3.42

Results
Total moment, μB per formula unit: 0.024
Crystal system: hexagonal
SG: P6_3/mmc (194)
Density, g/cm3: 8.36

Stability comparison, relative energies in eV/atom: w) 0.883; x) 0.000

w) Below is an optimized crystal structure of NdHoGe2, with properties calculated at the PBE level.

Cell lengths 10.2213, 10.2213, 4.5055 Å; angles 90.00, 90.00, 155.45 degrees
Last column: nearest neighbours and their distance in Å.
Positions (direct):
Ge1 0.9718 0.0282 0.2500  3 Ge 2.48-2.52
Ge2 0.8479 0.1522 0.2500  1 Ge 2.48
Ge3 0.1522 0.8479 0.7500  1 Ge 2.48
Ge4 0.0282 0.9718 0.7500  3 Ge 2.48-2.52
Ho1 0.2473 0.7528 0.2500  4 Ge 2.95-2.96, 4 Ho 3.13
Ho2 0.7528 0.2473 0.7500  4 Ge 2.95-2.96, 4 Ho 3.13
Nd1 0.5907 0.4093 0.2500  10 Ge 3.22-3.37
Nd2 0.4093 0.5907 0.7500  10 Ge 3.22-3.37

Results
Total moment, μB per formula unit: 0.004
Crystal system: orthorhombic
SG: Cmcm (63)
Density, g/cm3: 7.72

x) Below is an optimized crystal structure of NdHoGe2, with properties calculated at the PBE level.

Cell lengths 3.2917, 6.4893, 6.4893 Å; angles 54.32, 90.00, 90.00 degrees
Last column: nearest neighbours and their distance in Å.
Positions (direct):
Ge1 0.0000 0.3922 0.3922  1 Ge 2.45
Ge2 0.0000 0.6040 0.6040  1 Ge 2.45
Ho1 0.0000 0.1511 0.1511  3 Ge 2.78-3.01
Nd1 0.0000 0.8528 0.8528  3 Ge 2.87-3.00

Results
Total moment, μB per formula unit: 0.021
Crystal system: orthorhombic
SG: Amm2 (38)
Density, g/cm3: 6.70

Stability comparison, relative energies in eV/atom: w) 0.000; x) 0.649

w) Below is an optimized crystal structure of HoSiNiGe2, with properties calculated at the PBE level.

Cell lengths 10.8850, 10.8850, 4.0526 Å; angles 90.00, 90.00, 158.62 degrees
Last column: nearest neighbours and their distance in Å.
Positions (direct):
Ge1 0.9417 0.0583 0.0000  2 Ni 2.36, 1 Ge 2.50
Ge2 0.0583 0.9417 0.0000  2 Ni 2.36, 1 Ge 2.50
Ge3 0.5583 0.4417 0.5000  2 Ni 2.36, 1 Ge 2.49
Ge4 0.4417 0.5583 0.5000  2 Ni 2.36, 1 Ge 2.49
Ho1 0.6719 0.3281 0.0000  6 Si 3.04-3.09, 4 Ni 3.11, 4 Ge 3.16
Ho2 0.3281 0.6719 0.0000  6 Si 3.04-3.09, 4 Ni 3.11, 4 Ge 3.16
Ni1 0.8850 0.1150 0.5000  1 Si 2.23, 4 Ge 2.36
Ni2 0.1150 0.8850 0.5000  1 Si 2.23, 4 Ge 2.36
Si1 0.7807 0.2193 0.5000  1 Ni 2.23, 2 Si 2.41
Si2 0.2193 0.7807 0.5000  1 Ni 2.23, 2 Si 2.41

Results
Total moment, μB per formula unit: 0.001
Crystal system: orthorhombic
SG: Cmmm (65)
Density, g/cm3: 7.53

x) Below is an optimized crystal structure of HoSiNiGe2, with properties calculated at the PBE level.

Cell lengths 10.9358, 10.9358, 3.9811 Å; angles 90.00, 90.00, 158.46 degrees
Last column: nearest neighbours and their distance in Å.
Positions (direct):
Ge1 0.9431 0.0569 0.5000  2 Ni 2.33, 1 Ge 2.45
Ge2 0.7165 0.2835 0.5000  1 Ni 2.30, 2 Ge 2.50
Ge3 0.2835 0.7165 0.5000  1 Ni 2.30, 2 Ge 2.50
Ge4 0.0569 0.9431 0.5000  2 Ni 2.33, 1 Ge 2.45
Ho1 0.8321 0.1679 0.0000  8 Ge 3.04-3.18, 4 Ni 3.12, 2 Si 3.15
Ho2 0.1679 0.8321 0.0000  8 Ge 3.04-3.18, 4 Ni 3.12, 2 Si 3.15
Ni1 0.6092 0.3908 0.5000  2 Si 2.29, 3 Ge 2.30-2.33
Ni2 0.3908 0.6092 0.5000  2 Si 2.29, 3 Ge 2.30-2.33
Si1 0.5561 0.4439 0.0000  2 Ni 2.29, 1 Si 2.41
Si2 0.4439 0.5561 0.0000  2 Ni 2.29, 1 Si 2.41

Results
Total moment, μB per formula unit: 0.001
Crystal system: orthorhombic
SG: Cmmm (65)
Density, g/cm3: 7.54

Stability comparison, relative energies in eV/atom: w) 0.000; x) 0.006

w) Below is an optimized crystal structure of Ho2GeO5, with properties calculated at the PBE level.

Cell lengths 9.1911, 6.9677, 6.6904 Å; angles 90.00, 104.16, 90.00 degrees
Last column: nearest neighbours and their distance in Å.
Positions (direct):
Ge1 0.3030 0.9061 0.0204  4 O 1.72-1.81
Ge2 0.6970 0.4061 0.4796  4 O 1.72-1.81
Ge3 0.3030 0.5939 0.5204  4 O 1.72-1.81
Ge4 0.6970 0.0939 0.9796  4 O 1.72-1.81
Ho1 0.3619 0.3630 0.0315  7 O 2.24-2.43
Ho2 0.0267 0.3728 0.2291  6 O 2.21-2.46
Ho3 0.9733 0.8728 0.2709  6 O 2.21-2.46
Ho4 0.6381 0.8630 0.4685  7 O 2.24-2.43
Ho5 0.3619 0.1370 0.5315  7 O 2.24-2.43
Ho6 0.0267 0.1272 0.7291  6 O 2.21-2.46
Ho7 0.9733 0.6272 0.7709  6 O 2.21-2.46
Ho8 0.6381 0.6370 0.9685  7 O 2.24-2.43
O1 0.8928 0.1376 0.0062  1 Ge 1.79
O2 0.6105 0.3054 0.0187  1 Ge 1.72
O3 0.8907 0.6162 0.0731  4 Ho 2.21-2.33
O4 0.7179 0.9175 0.1829  1 Ge 1.81
O5 0.3948 0.0681 0.2113  1 Ge 1.76
O6 0.6052 0.5681 0.2887  1 Ge 1.76
O7 0.2821 0.4175 0.3171  1 Ge 1.81
O8 0.1093 0.1162 0.4269  4 Ho 2.21-2.33
O9 0.3895 0.8054 0.4813  1 Ge 1.72
O10 0.1072 0.6376 0.4938  1 Ge 1.79
O11 0.8928 0.3624 0.5062  1 Ge 1.79
O12 0.6105 0.1946 0.5187  1 Ge 1.72
O13 0.8907 0.8838 0.5731  4 Ho 2.21-2.33
O14 0.7179 0.5825 0.6829  1 Ge 1.81
O15 0.3948 0.4319 0.7113  1 Ge 1.76
O16 0.6052 0.9319 0.7887  1 Ge 1.76
O17 0.2821 0.0825 0.8171  1 Ge 1.81
O18 0.1093 0.3838 0.9269  4 Ho 2.21-2.33
O19 0.3895 0.6946 0.9813  1 Ge 1.72
O20 0.1072 0.8624 0.9938  1 Ge 1.79

Results
Total moment, μB per formula unit: 0.001
Crystal system: monoclinic
SG: P2_1/c (14)
Density, g/cm3: 7.71

x) Below is an optimized crystal structure of Ho2GeO5, with properties calculated at the PBE level.

Cell lengths 6.7806, 8.1470, 9.6263 Å; angles 109.36, 69.38, 114.59 degrees
Last column: nearest neighbours and their distance in Å.
Positions (direct):
Ge1 0.7794 0.5607 0.1901  4 O 1.74-1.78
Ge2 0.4087 0.9393 0.3099  4 O 1.74-1.78
Ge3 0.5913 0.0607 0.6901  4 O 1.74-1.78
Ge4 0.2206 0.4393 0.8099  4 O 1.74-1.78
Ho1 0.7916 0.1064 0.0371  6 O 2.19-2.38
Ho2 0.2683 0.4376 0.1637  6 O 2.19-2.31
Ho3 0.9943 0.0624 0.3363  6 O 2.19-2.31
Ho4 0.7223 0.3936 0.4629  6 O 2.19-2.38
Ho5 0.2777 0.6064 0.5371  6 O 2.19-2.38
Ho6 0.0057 0.9376 0.6637  6 O 2.19-2.31
Ho7 0.7317 0.5624 0.8363  6 O 2.19-2.31
Ho8 0.2084 0.8936 0.9629  6 O 2.19-2.38
O1 0.6305 0.4548 0.0484  1 Ge 1.76
O2 0.1156 0.1363 0.1013  4 Ho 2.19-2.38
O3 0.4168 0.9694 0.1349  1 Ge 1.76
O4 0.9588 0.7840 0.1742  1 Ge 1.74
O5 0.9163 0.4097 0.1786  1 Ge 1.78
O6 0.6852 0.0903 0.3214  1 Ge 1.78
O7 0.3490 0.7160 0.3258  1 Ge 1.74
O8 0.5824 0.5306 0.3651  1 Ge 1.76
O9 0.0807 0.3637 0.3987  4 Ho 2.19-2.38
O10 0.2242 0.0452 0.4515  1 Ge 1.76
O11 0.7758 0.9548 0.5485  1 Ge 1.76
O12 0.9193 0.6363 0.6013  4 Ho 2.19-2.38
O13 0.4176 0.4694 0.6349  1 Ge 1.76
O14 0.6510 0.2840 0.6742  1 Ge 1.74
O15 0.3148 0.9097 0.6786  1 Ge 1.78
O16 0.0837 0.5903 0.8214  1 Ge 1.78
O17 0.0412 0.2160 0.8258  1 Ge 1.74
O18 0.5832 0.0306 0.8651  1 Ge 1.76
O19 0.8844 0.8637 0.8987  4 Ho 2.19-2.38
O20 0.3695 0.5452 0.9515  1 Ge 1.76

Results
Total moment, μB per formula unit: 0.002
Crystal system: monoclinic
SG: C2/c (15)
Density, g/cm3: 7.25

Stability comparison, relative energies in eV/atom: w) 0.013; x) 0.000